# La3SnO

La3SnO after structural relaxation (GGA-PBE, Alexandria via LeMat-Bulk).

Output
For the formation energy without anion corrections, the calculation gives -1.217 eV/atom. The total moment comes out at 0.00 Bohr magnetons per cell.

a = 6.898 Å, b = 12.008 Å, c = 7.452 Å
α = 90.00°, β = 90.00°, γ = 90.00°
Space group Cmcm (No. 63)
Asymmetric unit:
1 La 0.000 0.000 0.000 x4
2 La 0.230 0.271 0.250 x8
3 Sn 0.000 0.462 0.750 x4
4 O 0.000 0.122 0.750 x4

# Np2Ni4Ge3Rh

Np2Ni4Ge3Rh after structural relaxation (GGA-PBE, Alexandria via LeMat-Bulk).

Output
The value obtained for the formation energy is -0.322 eV per atom. The total moment comes out at 7.38 Bohr magnetons per cell.

a = 3.809 Å, b = 3.809 Å, c = 10.966 Å
α = 90.00°, β = 90.00°, γ = 90.00°
Space group P-4m2 (No. 115)
Asymmetric unit:
1 Np 0.000 0.500 0.240 x2
2 Ni 0.000 0.000 0.500 x1
3 Ni 0.000 0.500 0.842 x2
4 Ni 0.500 0.500 0.500 x1
5 Ge 0.000 0.000 0.000 x1
6 Ge 0.000 0.500 0.628 x2
7 Rh 0.500 0.500 0.000 x1

# Eu3CdPt

Eu3CdPt after structural relaxation (GGA-PBE, Alexandria via LeMat-Bulk).

Output
The value obtained for the formation energy is -0.455 eV per atom. The total moment comes out at 21.67 Bohr magnetons per cell.

a = 5.703 Å, b = 5.703 Å, c = 5.703 Å
α = 90.00°, β = 90.00°, γ = 90.00°
Space group Pm-3m (No. 221)
Asymmetric unit:
1 Eu 0.000 0.000 0.500 x3
2 Cd 0.500 0.500 0.500 x1
3 Pt 0.000 0.000 0.000 x1

# SrRhCl2

SrRhCl2 after structural relaxation (GGA-PBE, Alexandria via LeMat-Bulk).

Output
For the formation energy without anion corrections, the calculation gives -0.955 eV/atom. The total moment comes out at 1.00 Bohr magnetons per cell.

a = 4.855 Å, b = 4.076 Å, c = 4.866 Å
α = 90.00°, β = 95.48°, γ = 90.00°
Space group P2/m (No. 10)
Asymmetric unit:
1 Sr 0.000 0.000 0.000 x1
2 Rh 0.500 0.000 0.500 x1
3 Cl 0.287 0.500 0.714 x2

# CrReB

CrReB after structural relaxation (GGA-PBE, Alexandria via LeMat-Bulk).

Output
The value obtained for the formation energy is 0.026 eV per atom. The total moment comes out at 0.00 Bohr magnetons per cell.

a = 4.721 Å, b = 2.887 Å, c = 5.352 Å
α = 90.00°, β = 111.87°, γ = 90.00°
Space group Cm (No. 8)
Asymmetric unit:
1 Cr 0.000 0.000 0.000 x2
2 Re 0.246 0.000 0.577 x2
3 B 0.278 0.500 0.273 x2

# Ce2CdIr

Ce2CdIr after structural relaxation (GGA-PBE, Alexandria via LeMat-Bulk).

Output
The value obtained for the formation energy is -0.441 eV per atom. The total moment comes out at 0.80 Bohr magnetons per cell.

a = 3.725 Å, b = 3.725 Å, c = 6.961 Å
α = 90.00°, β = 90.00°, γ = 90.00°
Space group P4/mmm (No. 123)
Asymmetric unit:
1 Ce 0.000 0.000 0.206 x2
2 Cd 0.500 0.500 0.500 x1
3 Ir 0.500 0.500 0.000 x1